No. 1
Material: Ca2ZrSe
Method: DFT, PBE-GGA
State: relaxed

Results
The formation energy (no corrections) is -0.540 eV per atom. Its calculated volume is 27.1 A^3/atom. As for the final energy: -4.5489 eV/atom. As for the density of states at the Fermi level: 1.086 states/eV/atom. The value obtained for the magnetization is 0.0 μB/f.u.

```
Ca2ZrSe
1.0
-1.332 3.140 1.048
-3.308 -1.224 -0.539
-0.273 -2.797 8.029
Zr Ca Se
1 2 1
Direct
0.500 0.500 0.750
0.000 0.000 0.046
0.000 0.000 0.454
0.500 0.500 0.250
```

---

No. 2
Material: CaZr2Se
Method: DFT, PBE-GGA
State: relaxed

Results
The formation energy (no corrections) is 0.065 eV per atom. Its calculated volume is 22.7 A^3/atom. As for the final energy: -5.5806 eV/atom. As for the density of states at the Fermi level: 1.371 states/eV/atom. The value obtained for the magnetization is 0.3 μB/f.u.

```
CaZr2Se
1.0
-4.627 2.141 0.293
-2.154 -4.518 -1.013
-0.113 -0.711 3.413
Zr Ca Se
2 1 1
Direct
0.000 0.000 0.000
0.500 0.500 0.000
0.500 0.000 0.500
0.000 0.500 0.500
```

---

No. 3
Material: CaZr2Se
Method: DFT, PBE-GGA
State: relaxed

Results
The formation energy (no corrections) is -0.235 eV per atom. Its calculated volume is 24.2 A^3/atom. As for the final energy: -5.8807 eV/atom. As for the density of states at the Fermi level: 0.832 states/eV/atom. The value obtained for the magnetization is 0.0 μB/f.u.

```
CaZr2Se
1.0
-0.362 -2.880 4.557
2.807 -1.940 -1.003
3.526 2.957 2.149
Ca Zr Se
1 2 1
Direct
0.500 0.250 0.250
0.000 0.603 0.510
0.000 0.897 0.990
0.500 0.750 0.750
```